Computed, not measured: a geometry-optimized RePb2Se structure at the GGA-PBE level of DFT.

a = 3.211 Å, b = 3.211 Å, c = 9.122 Å
α = 90.00°, β = 90.00°, γ = 90.00°
Space group P4mm (No. 99)
Inequivalent atoms, fractional coordinates:
Re 0.000 0.000 0.000 x1
Pb 0.000 0.000 0.431 x1
Pb 0.500 0.500 0.765 x1
Se 0.500 0.500 0.133 x1

Electronic total energy: -5.533 eV/atom
ρ: 12.00 Mg/m³
Crystal system: tetragonal
Uncorrected formation energy: 0.3047 eV per atom
Magnetic moment: 0.00 μB/cell